# PmTiZnRh | Alexandria via LeMat-Bulk | PBE | optimized geometry
data_PmTiZnRh
_chemical_formula_sum 'Pm4 Ti4 Zn4 Rh4'
_symmetry_space_group_name_H-M 'F -4 3 m'
_symmetry_Int_Tables_number 216
_symmetry_space_group_name_Hall 'F -4 2 3'
_cell_length_a 6.757
_cell_length_b 6.757
_cell_length_c 6.757
_cell_angle_alpha 90.00
_cell_angle_beta 90.00
_cell_angle_gamma 90.00
loop_
_atom_site_label
_atom_site_type_symbol
_atom_site_fract_x
_atom_site_fract_y
_atom_site_fract_z
Pm1 Pm 0.000 0.000 0.000
Ti1 Ti 0.000 0.000 0.500
Zn1 Zn 0.250 0.250 0.750
Rh1 Rh 0.250 0.250 0.250
# ΔH_f (0 K)	-102.4	kJ/mol of formula units
# size of the total moment	3.0	μB/cell

# AcSm15Dy4 | Alexandria via LeMat-Bulk | PBE | optimized geometry
data_AcSm15Dy4
_chemical_formula_sum 'Ac1 Sm15 Dy4'
_symmetry_space_group_name_H-M 'P 4/m m m'
_symmetry_Int_Tables_number 123
_symmetry_space_group_name_Hall '-P 4 2'
_cell_length_a 5.133
_cell_length_b 5.133
_cell_length_c 25.667
_cell_angle_alpha 90.00
_cell_angle_beta 90.00
_cell_angle_gamma 90.00
loop_
_atom_site_label
_atom_site_type_symbol
_atom_site_fract_x
_atom_site_fract_y
_atom_site_fract_z
Ac1 Ac 0.000 0.000 0.000
Sm1 Sm 0.000 0.500 0.105
Sm2 Sm 0.000 0.500 0.302
Sm3 Sm 0.000 0.500 0.500
Sm4 Sm 0.500 0.500 0.000
Sm5 Sm 0.500 0.500 0.204
Sm6 Sm 0.500 0.500 0.401
Dy1 Dy 0.000 0.000 0.203
Dy2 Dy 0.000 0.000 0.401
# ΔH_f (0 K)	44.6	kJ/mol of formula units
# size of the total moment	0.0	μB/cell

How do the records compare in E_tot? In the order shown, they have -5.583; -4.642 eV per atom.
How do the records compare in DOS(E_F)? In the order shown, they have 3.51; 28.85 states/eV/f.u..